1.
Ac2MnGaO6: relaxed, PBE+U.

* calculated total energy: -7.4275 eV per atom
* volume: 128 Å³/f.u.
* space-group type: No. 123

The structure in POSCAR format:
```
Ac2MnGaO6
1.0
-1.8024 0.5204 3.5387
-4.3790 -3.0850 -1.7768
2.4948 -4.6685 1.9573
Ac Mn Ga O
2 1 1 6
Cartesian
-2.4502 -1.4673 -0.3766
0.9867 -2.2590 1.4905
-2.1041 -3.5413 2.3716
-1.1618 0.3354 2.2809
-1.6293 -1.5873 2.3262
-0.3719 -3.9403 3.3127
-1.2029 -3.8015 0.6023
-0.2607 0.0753 0.5118
-2.5789 -5.4952 2.4172
-3.8364 -3.1422 1.4307
```

***

2.
Ac4MnGa3O12: relaxed, PBE+U.

* calculated total energy: -7.1406 eV per atom
* volume: 250 Å³/f.u.
* space-group type: No. 229

The structure in POSCAR format:
```
Ac4MnGa3O12
1.0
-0.5868 -6.6010 1.8177
2.1539 3.6775 5.3906
-6.1104 2.3538 -2.0842
Ac Mn Ga O
4 1 3 12
Cartesian
-2.2716 -0.2849 2.5620
-3.0552 1.1769 -1.0421
-0.2934 -3.3005 0.9088
1.0770 1.8387 2.6953
0.0000 0.0000 0.0000
-3.3486 -2.1236 -0.1333
0.7836 -1.4618 3.6041
-1.9782 3.0156 1.6532
-3.6525 1.9538 1.5865
-5.0298 -3.1898 -0.2002
-1.6674 -1.0574 -0.0664
-0.8907 -2.5236 3.5375
1.1770 -2.1957 5.4137
0.3902 -0.7279 1.7946
-2.9568 -2.8545 1.6688
-1.5864 2.2848 3.4552
-4.3377 -0.6158 0.6933
-2.9714 4.5297 2.4832
-0.2055 0.0461 4.4307
-0.9850 1.5016 0.8232
```